Here is MgV2ReO8 after structural relaxation from the Alexandria database. Energies are from GGA+U.

```
MgV2ReO8
1.0
3.247 -3.270 0.000
3.247 3.270 0.000
0.000 0.000 6.117
Mg V Re O
1 2 1 8
Cartesian
0.000 0.000 0.000 Mg
3.247 0.000 1.460 V
3.247 0.000 4.658 V
0.000 0.000 3.059 Re
1.326 0.000 1.673 O
1.326 0.000 4.444 O
3.247 1.351 3.059 O
3.247 1.235 0.000 O
3.247 -1.235 0.000 O
3.247 -1.351 3.059 O
5.167 0.000 1.673 O
5.167 0.000 4.444 O
```

Calculated values
E: -92.02 eV/cell